This record from Alexandria via LeMat-Bulk describes a relaxed GaCoSN2 crystal. The functional is PBEsol.

Values from the calculation:
- Mass density: 4.5 g cm⁻³
- DOS(E_F): 6.6 states/eV/f.u.
- E_form (uncorrected): 1.3954 eV/atom
- Crystal system: tetragonal

```
data_GaCoSN2
_chemical_formula_sum 'Ga1 Co1 S1 N2'
_cell_length_a 3.6755
_cell_length_b 3.6755
_cell_length_c 5.1932
_cell_angle_alpha 90.00
_cell_angle_beta 90.00
_cell_angle_gamma 90.00
_space_group_name_H-M_alt 'P 4/m m m'
_space_group_IT_number 123
_space_group_name_Hall '-P 4 2'
loop_
_atom_site_label
_atom_site_fract_x
_atom_site_fract_y
_atom_site_fract_z
Ga1 0.0000 0.0000 0.0000
Co1 0.5000 0.5000 0.5000
S1 0.0000 0.0000 0.5000
N1 0.0000 0.5000 0.0000
```